Entry from the Alexandria database: an optimized crystal structure of Dy4GaIr (GGA-PBE).

- Total DFT energy (no corrections): -5.5923 eV/atom
- Fermi-level density of states: 11.806 states/eV/cell
- Energy relative to the elements: -0.54 eV/atom
- Relative energy among the computed polymorphs: 4.25 kJ per mole of atoms

abc: 6.065 8.024 7.998
angles: 114.52 105.34 103.21
Element x y z (fractional)
Dy 0.029 0.224 0.866
Dy 0.788 0.702 0.644
Dy 0.337 0.642 0.866
Dy 0.356 0.942 0.644
Dy 0.644 0.058 0.356
Dy 0.663 0.358 0.134
Dy 0.212 0.298 0.356
Dy 0.971 0.776 0.134
Ga 0.381 0.631 0.263
Ga 0.619 0.369 0.737
Ir 0.250 0.000 0.001
Ir 0.750 0.000 0.999